This record from the Alexandria database describes a relaxed Rb2Hg3Sb2 crystal. The functional is PBE.

Its formation energy without anion corrections is -0.254 eV per atom. The crystal system is triclinic. As for the density of states at the Fermi level: 0.395 states/eV/f.u. The calculation puts the energy at -1.838 eV per atom. The value obtained for the volume is 36.895 Å³ per atom.

It has space group P-1 (No. 2), with a = 5.986 Å, b = 6.781 Å, c = 7.051 Å, α = 94.66°, β = 115.02° and γ = 90.20°. The inequivalent atoms are Rb at (0.111, 0.302, 0.224), Hg at (0.240, 0.819, 0.475), Hg at (0.500, 0.000, 0.000) and Sb at (0.409, 0.353, 0.819).

This record from the Alexandria database describes a relaxed Rb4Hg2Sb crystal. The functional is PBE.

Its formation energy without anion corrections is -0.176 eV per atom. The crystal system is tetragonal. As for the density of states at the Fermi level: 2.438 states/eV/f.u. The calculation puts the energy at -1.404 eV per atom. The value obtained for the volume is 64.674 Å³ per atom.

It has space group I4/mmm (No. 139), with a = 7.176 Å, b = 7.176 Å, c = 17.582 Å, α = 90.00°, β = 90.00° and γ = 90.00°. The inequivalent atoms are Rb at (0.000, 0.000, 0.197), Rb at (0.000, 0.500, 0.000), Hg at (0.000, 0.000, 0.411) and Sb at (0.000, 0.000, 0.000).

This record from the Alexandria database describes a relaxed Rb3HgSb crystal. The functional is PBE.

Its formation energy without anion corrections is -0.186 eV per atom. The crystal system is cubic. As for the density of states at the Fermi level: 0.007 states/eV/f.u. The calculation puts the energy at -1.651 eV per atom. The value obtained for the volume is 72.867 Å³ per atom. The energy above the most stable polymorph in this dataset comes out at 0.156 eV/atom.

It has space group Pm-3m (No. 221), with a = 7.142 Å, b = 7.142 Å, c = 7.142 Å, α = 90.00°, β = 90.00° and γ = 90.00°. The inequivalent atoms are Rb at (0.000, 0.000, 0.500), Hg at (0.500, 0.500, 0.500) and Sb at (0.000, 0.000, 0.000).

This record from the Alexandria database describes a relaxed Rb2Hg2Sb crystal. The functional is PBE.

Its formation energy without anion corrections is -0.061 eV per atom. The crystal system is tetragonal. As for the density of states at the Fermi level: 3.095 states/eV/f.u. The calculation puts the energy at -1.394 eV per atom. The value obtained for the volume is 39.787 Å³ per atom. The energy above the most stable polymorph in this dataset comes out at 0.262 eV/atom.

It has space group P4/mbm (No. 127), with a = 10.210 Å, b = 10.210 Å, c = 3.817 Å, α = 90.00°, β = 90.00° and γ = 90.00°. The inequivalent atoms are Rb at (0.182, 0.318, 0.000), Hg at (0.113, 0.613, 0.500) and Sb at (0.000, 0.000, 0.000).